# TbNd6Y2Th

A geometry-optimized TbNd6Y2Th structure (PBE-GGA, Alexandria via LeMat-Bulk).

a = 8.932 Å, b = 8.932 Å, c = 9.595 Å
α = 93.28°, β = 93.28°, γ = 115.23°
Element x y z (fractional)
Tb 0.091 0.909 0.750
Tb 0.909 0.091 0.250
Nd 0.022 0.797 0.384
Nd 0.075 0.508 0.190
Nd 0.203 0.978 0.116
Nd 0.264 0.609 0.562
Nd 0.391 0.736 0.938
Nd 0.492 0.925 0.310
Nd 0.508 0.075 0.690
Nd 0.609 0.264 0.062
Nd 0.736 0.391 0.438
Nd 0.797 0.022 0.884
Nd 0.925 0.492 0.810
Nd 0.978 0.203 0.616
Y 0.208 0.297 0.945
Y 0.297 0.208 0.445
Y 0.703 0.792 0.555
Y 0.792 0.703 0.055
Th 0.465 0.535 0.250
Th 0.535 0.465 0.750

Calculated values
- calculated total energy (eV per formula unit) = -52.14
- crystal system = monoclinic
- calculated volume (Å³/cell) = 688.58
- space group = No. 15
- ΔH_f (0 K) (eV/atom) = 0.14